1.
# Na2EuAg (GGA-PBE, relaxed)
data_Na2EuAg
_chemical_formula_sum 'Na2 Eu1 Ag1'
_symmetry_space_group_name_H-M 'P 4/m m m'
_symmetry_Int_Tables_number 123
_symmetry_space_group_name_Hall '-P 4 2'
_cell_length_a 4.614
_cell_length_b 4.614
_cell_length_c 5.846
_cell_angle_alpha 90.00
_cell_angle_beta 90.00
_cell_angle_gamma 90.00
loop_
_atom_site_label
_atom_site_type_symbol
_atom_site_fract_x
_atom_site_fract_y
_atom_site_fract_z
_atom_site_occupancy
Na1 Na 0.000 0.500 0.000 1
Eu1 Eu 0.000 0.000 0.500 1
Ag1 Ag 0.500 0.500 0.500 1
# - ΔE_f: 0.002 eV/atom

2.
# Na2EuAg (GGA-PBE, relaxed)
data_Na2EuAg
_chemical_formula_sum 'Na6 Eu3 Ag3'
_symmetry_space_group_name_H-M 'R -3 m'
_symmetry_Int_Tables_number 166
_symmetry_space_group_name_Hall '-R 3 2"'
_cell_length_a 3.4837
_cell_length_b 3.4837
_cell_length_c 35.8147
_cell_angle_alpha 90.00
_cell_angle_beta 90.00
_cell_angle_gamma 120.00
loop_
_atom_site_label
_atom_site_type_symbol
_atom_site_fract_x
_atom_site_fract_y
_atom_site_fract_z
_atom_site_occupancy
Na1 Na 0.0000 0.0000 0.0998 1
Eu1 Eu 0.0000 0.0000 0.0000 1
Ag1 Ag 0.0000 0.0000 0.5000 1
# - ΔE_f: 0.192 eV/atom

For each record above, in turn, the calculated distance to the lowest polymorph of the same formula values are 0 190 meV per atom.
For each record above, in turn, the calculated total DFT energy (no corrections) values are -3.94 -3.75 eV/atom.